1.
# Cd7Si5, optimized geometry, DFT PBE
data_Cd7Si5
_cell_length_a 7.949
_cell_length_b 7.949
_cell_length_c 8.444
_cell_angle_alpha 90.00
_cell_angle_beta 90.00
_cell_angle_gamma 90.00
_symmetry_space_group_name_H-M 'I 4 m m'
_symmetry_Int_Tables_number 107
_symmetry_space_group_name_Hall 'I 4 -2'
loop_
_atom_site_label
_atom_site_fract_x
_atom_site_fract_y
_atom_site_fract_z
Cd1 0.000 0.000 0.000
Cd2 0.000 0.260 0.709
Cd3 0.000 0.500 0.457
Si1 0.000 0.000 0.308
Si2 0.202 0.202 0.425
# Calculated total energy, Ha/atom: -0.0894

2.
# LiSiB, optimized geometry, DFT PBE
data_LiSiB
_cell_length_a 5.285
_cell_length_b 5.140
_cell_length_c 6.548
_cell_angle_alpha 90.00
_cell_angle_beta 128.28
_cell_angle_gamma 90.00
_symmetry_space_group_name_H-M 'P 1 21/c 1'
_symmetry_Int_Tables_number 14
loop_
_symmetry_equiv_pos_as_xyz
'x,y,z'
'-x,-y,-z'
'-x,y+1/2,-z+1/2'
'x,-y+1/2,z+1/2'
loop_
_atom_site_label
_atom_site_fract_x
_atom_site_fract_y
_atom_site_fract_z
Li1 0.190 0.088 0.257
Si1 0.252 0.612 0.160
B1 0.387 0.611 0.524
# Calculated total energy, Ha/atom: -0.1684

3.
# TbCeHoTl, optimized geometry, DFT PBE
data_TbCeHoTl
_cell_length_a 7.644
_cell_length_b 7.644
_cell_length_c 7.644
_cell_angle_alpha 90.00
_cell_angle_beta 90.00
_cell_angle_gamma 90.00
_symmetry_space_group_name_H-M 'F -4 3 m'
_symmetry_Int_Tables_number 216
_symmetry_space_group_name_Hall 'F -4 2 3'
loop_
_atom_site_label
_atom_site_fract_x
_atom_site_fract_y
_atom_site_fract_z
Tb1 0.000 0.000 0.000
Ce1 0.250 0.250 0.750
Ho1 0.000 0.000 0.500
Tl1 0.250 0.250 0.250
# ΔE_f, eV per atom: 0.023
# Calculated total energy, Ha/atom: -0.1600